(1)
DFT (PBE) results for crystalline ZrTe2Cl at its relaxed geometry.

```
ZrTe2Cl
1.0
5.3879 -0.0159 0.0000
1.1031 5.2738 0.0000
-3.2455 -2.6289 3.4037
Cl Te Zr
1 2 1
direct
0.7500 0.2500 0.5000
0.0000 0.0000 0.0000
0.5000 0.5000 0.0000
0.2500 0.7500 0.5000
```

Summary:
- Crystal system: tetragonal
- ΔE_f (raw): -392 meV per atom
- Energy relative to the lowest polymorph listed for this composition: 453 meV per atom
- Space-group type: I4/mmm (139)
- Spin magnetization: 0.000 μB per formula unit
- Electronic total energy: -4.562 eV per atom
- Volume: 96.77 Å³/f.u.

(2)
DFT (PBE) results for crystalline KTl4Ag at its relaxed geometry.

```
KTl4Ag
1.0
4.9179 0.0000 0.0000
0.0000 8.5816 0.0000
0.0000 0.0000 8.8844
K Tl Ag
2 8 2
direct
0.0000 0.6139 0.7500
0.0000 0.3861 0.2500
0.0000 0.0000 0.5000
0.0000 0.0000 0.0000
0.5000 0.9367 0.7500
0.5000 0.0633 0.2500
0.5000 0.6956 0.0608
0.5000 0.3044 0.9392
0.5000 0.6956 0.4392
0.5000 0.3044 0.5608
0.0000 0.2206 0.7500
0.0000 0.7794 0.2500
```

Summary:
- Crystal system: orthorhombic
- Energy relative to the lowest polymorph listed for this composition: 0 meV per atom
- Space-group type: Pmma (51)
- Spin magnetization: 0.000 μB per formula unit
- Electronic total energy: -2.269 eV per atom
- Volume: 187.48 Å³/f.u.